VASP calculation (GGA-PBE) on a geometry-optimized PrMgAuSe3 structure.

a = 6.993 Å, b = 6.993 Å, c = 10.911 Å
α = 90.00°, β = 90.00°, γ = 147.34°
Element x y z (fractional)
Pr1 0.000 0.000 0.000
Pr2 0.000 0.000 0.500
Mg1 0.225 0.775 0.750
Mg2 0.775 0.225 0.250
Au1 0.477 0.523 0.250
Au2 0.523 0.477 0.750
Se1 0.114 0.886 0.250
Se2 0.343 0.657 0.076
Se3 0.343 0.657 0.424
Se4 0.657 0.343 0.576
Se5 0.657 0.343 0.924
Se6 0.886 0.114 0.750

Values from the calculation:
Uncorrected energy: -52.69 eV/cell
Space-group type: Cmcm

***

VASP calculation (GGA-PBE) on a geometry-optimized PrMgTeAuSe2 structure.

a = 7.255 Å, b = 7.255 Å, c = 11.254 Å
α = 90.00°, β = 90.00°, γ = 148.03°
Element x y z (fractional)
Pr1 0.000 0.000 0.000
Pr2 0.000 0.000 0.500
Mg1 0.194 0.806 0.750
Mg2 0.806 0.194 0.250
Te1 0.122 0.878 0.250
Te2 0.878 0.122 0.750
Au1 0.480 0.520 0.250
Au2 0.520 0.480 0.750
Se1 0.351 0.649 0.077
Se2 0.351 0.649 0.423
Se3 0.649 0.351 0.577
Se4 0.649 0.351 0.923

Values from the calculation:
Uncorrected energy: -51.29 eV/cell
Space-group type: Cmcm

***

VASP calculation (GGA-PBE) on a geometry-optimized PrMgTe2AuSe structure.

a = 7.397 Å, b = 7.397 Å, c = 11.056 Å
α = 90.00°, β = 90.00°, γ = 147.48°
Element x y z (fractional)
Pr1 0.000 0.000 0.000
Pr2 0.000 0.000 0.500
Mg1 0.254 0.746 0.750
Mg2 0.746 0.254 0.250
Te1 0.339 0.661 0.075
Te2 0.339 0.661 0.425
Te3 0.661 0.339 0.575
Te4 0.661 0.339 0.925
Au1 0.478 0.522 0.250
Au2 0.522 0.478 0.750
Se1 0.105 0.895 0.250
Se2 0.895 0.105 0.750

Values from the calculation:
Uncorrected energy: -48.91 eV/cell
Space-group type: Cmcm

***

VASP calculation (GGA-PBE) on a geometry-optimized PrMgTe3Au structure.

a = 7.558 Å, b = 7.558 Å, c = 11.415 Å
α = 90.00°, β = 90.00°, γ = 147.94°
Element x y z (fractional)
Pr1 0.000 0.000 0.000
Pr2 0.000 0.000 0.500
Mg1 0.214 0.786 0.750
Mg2 0.786 0.214 0.250
Te1 0.110 0.890 0.250
Te2 0.344 0.656 0.073
Te3 0.344 0.656 0.427
Te4 0.656 0.344 0.573
Te5 0.656 0.344 0.927
Te6 0.890 0.110 0.750
Au1 0.477 0.523 0.250
Au2 0.523 0.477 0.750

Values from the calculation:
Uncorrected energy: -47.68 eV/cell
Space-group type: Cmcm

***

VASP calculation (GGA-PBE) on a geometry-optimized PrTmMg2Au4 structure.

a = 4.942 Å, b = 4.942 Å, c = 6.992 Å
α = 90.00°, β = 90.00°, γ = 90.00°
Element x y z (fractional)
Pr1 0.000 0.000 0.000
Tm1 0.500 0.500 0.500
Mg1 0.000 0.000 0.500
Mg2 0.500 0.500 0.000
Au1 0.000 0.500 0.267
Au2 0.000 0.500 0.733
Au3 0.500 0.000 0.267
Au4 0.500 0.000 0.733

Values from the calculation:
Uncorrected energy: -31.42 eV/cell
Space-group type: P4/mmm

***

VASP calculation (GGA-PBE) on a geometry-optimized Pr3Mg3Zn2Au structure.

a = 7.432 Å, b = 7.432 Å, c = 4.623 Å
α = 90.00°, β = 90.00°, γ = 120.00°
Element x y z (fractional)
Pr1 0.000 0.419 0.000
Pr2 0.419 0.000 0.000
Pr3 0.581 0.581 0.000
Mg1 0.000 0.763 0.500
Mg2 0.237 0.237 0.500
Mg3 0.763 0.000 0.500
Zn1 0.333 0.667 0.500
Zn2 0.667 0.333 0.500
Au1 0.000 0.000 0.000

Values from the calculation:
Uncorrected energy: -28.25 eV/cell
Space-group type: P-62m

***

VASP calculation (GGA-PBE) on a geometry-optimized Sm3Mg3Pt2Au structure.

a = 7.545 Å, b = 7.545 Å, c = 4.103 Å
α = 90.00°, β = 90.00°, γ = 120.00°
Element x y z (fractional)
Sm1 0.000 0.582 0.000
Sm2 0.418 0.418 0.000
Sm3 0.582 0.000 0.000
Mg1 0.000 0.248 0.500
Mg2 0.248 0.000 0.500
Mg3 0.752 0.752 0.500
Pt1 0.333 0.667 0.500
Pt2 0.667 0.333 0.500
Au1 0.000 0.000 0.000

Values from the calculation:
Uncorrected energy: -41.73 eV/cell
Space-group type: P-62m

***

VASP calculation (GGA-PBE) on a geometry-optimized MgTaPtAu structure.

a = 4.549 Å, b = 4.549 Å, c = 4.549 Å
α = 60.00°, β = 60.00°, γ = 60.00°
Element x y z (fractional)
Mg1 0.000 0.000 0.000
Ta1 0.750 0.750 0.750
Pt1 0.500 0.500 0.500
Au1 0.250 0.250 0.250

Values from the calculation:
E above lowest polymorph: 0.152 eV/atom
Space-group type: F-43m

***

VASP calculation (GGA-PBE) on a geometry-optimized MgTaPtAu structure.

a = 4.593 Å, b = 4.593 Å, c = 4.593 Å
α = 60.00°, β = 60.00°, γ = 60.00°
Element x y z (fractional)
Mg1 0.000 0.000 0.000
Ta1 0.500 0.500 0.500
Pt1 0.250 0.250 0.250
Au1 0.750 0.750 0.750

Values from the calculation:
E above lowest polymorph: 0.000 eV/atom
Space-group type: F-43m

***

VASP calculation (GGA-PBE) on a geometry-optimized MgTaPtAu structure.

a = 4.550 Å, b = 4.550 Å, c = 4.550 Å
α = 60.00°, β = 60.00°, γ = 60.00°
Element x y z (fractional)
Mg1 0.000 0.000 0.000
Ta1 0.750 0.750 0.750
Pt1 0.250 0.250 0.250
Au1 0.500 0.500 0.500

Values from the calculation:
E above lowest polymorph: 0.302 eV/atom
Space-group type: F-43m

***

VASP calculation (GGA-PBE) on a geometry-optimized Tb3Mg3Pt2Au structure.

a = 7.459 Å, b = 7.459 Å, c = 4.068 Å
α = 90.00°, β = 90.00°, γ = 120.00°
Element x y z (fractional)
Tb1 0.000 0.417 0.000
Tb2 0.417 0.000 0.000
Tb3 0.583 0.583 0.000
Mg1 0.000 0.749 0.500
Mg2 0.251 0.251 0.500
Mg3 0.749 0.000 0.500
Pt1 0.333 0.667 0.500
Pt2 0.667 0.333 0.500
Au1 0.000 0.000 0.000

Values from the calculation:
Uncorrected energy: -41.71 eV/cell
Space-group type: P-62m

***

VASP calculation (GGA-PBE) on a geometry-optimized Tb3Mg3Pt2Au structure.

a = 4.032 Å, b = 7.492 Å, c = 7.492 Å
α = 120.14°, β = 90.00°, γ = 90.00°
Element x y z (fractional)
Tb1 0.000 0.000 0.000
Tb2 0.000 0.168 0.585
Tb3 0.000 0.585 0.168
Mg1 0.500 0.334 0.334
Mg2 0.500 0.584 0.835
Mg3 0.500 0.835 0.584
Pt1 0.500 0.251 0.918
Pt2 0.500 0.918 0.251
Au1 0.000 0.586 0.586

Values from the calculation:
Uncorrected energy: -41.71 eV/cell
Space-group type: Amm2

***

VASP calculation (GGA-PBE) on a geometry-optimized Tb3Mg3PtAu2 structure.

a = 7.484 Å, b = 7.484 Å, c = 4.125 Å
α = 90.00°, β = 90.00°, γ = 120.00°
Element x y z (fractional)
Tb1 0.000 0.405 0.000
Tb2 0.405 0.000 0.000
Tb3 0.595 0.595 0.000
Mg1 0.000 0.760 0.500
Mg2 0.240 0.240 0.500
Mg3 0.760 0.000 0.500
Pt1 0.000 0.000 0.000
Au1 0.333 0.667 0.500
Au2 0.667 0.333 0.500

Values from the calculation:
Uncorrected energy: -38.03 eV/cell
Space-group type: P-62m

***

VASP calculation (GGA-PBE) on a geometry-optimized Tb3Mg3TlPtAu structure.

a = 7.799 Å, b = 7.799 Å, c = 4.013 Å
α = 90.00°, β = 90.00°, γ = 120.00°
Element x y z (fractional)
Tb1 0.091 0.364 0.000
Tb2 0.273 0.909 0.000
Tb3 0.636 0.727 0.000
Mg1 0.421 0.334 0.500
Mg2 0.666 0.087 0.500
Mg3 0.913 0.579 0.500
Tl1 0.000 0.000 0.500
Pt1 0.333 0.667 0.500
Au1 0.667 0.333 0.000

Values from the calculation:
Uncorrected energy: -36.19 eV/cell
Space-group type: P-6

***

VASP calculation (GGA-PBE) on a geometry-optimized TbTm2Mg3Pt2Au structure.

a = 4.030 Å, b = 7.436 Å, c = 7.436 Å
α = 120.27°, β = 90.00°, γ = 90.00°
Element x y z (fractional)
Tb1 0.000 0.000 0.000
Tm1 0.000 0.168 0.583
Tm2 0.000 0.583 0.168
Mg1 0.500 0.332 0.332
Mg2 0.500 0.583 0.835
Mg3 0.500 0.835 0.583
Pt1 0.500 0.254 0.916
Pt2 0.500 0.916 0.254
Au1 0.000 0.581 0.581

Values from the calculation:
Uncorrected energy: -41.47 eV/cell
Space-group type: Amm2

***

VASP calculation (GGA-PBE) on a geometry-optimized Tb2TmMg3Pt2Au structure.

a = 4.039 Å, b = 7.447 Å, c = 7.447 Å
α = 119.75°, β = 90.00°, γ = 90.00°
Element x y z (fractional)
Tb1 0.000 0.208 0.792
Tb2 0.000 0.792 0.208
Tm1 0.000 0.377 0.377
Mg1 0.500 0.044 0.044
Mg2 0.500 0.540 0.791
Mg3 0.500 0.791 0.540
Pt1 0.500 0.130 0.458
Pt2 0.500 0.458 0.130
Au1 0.000 0.789 0.789

Values from the calculation:
Uncorrected energy: -41.59 eV/cell
Space-group type: Amm2

***

VASP calculation (GGA-PBE) on a geometry-optimized Tb3MgZn2Pt2Au structure.

a = 3.920 Å, b = 7.426 Å, c = 7.426 Å
α = 119.86°, β = 90.00°, γ = 90.00°
Element x y z (fractional)
Tb1 0.000 0.000 0.000
Tb2 0.000 0.186 0.612
Tb3 0.000 0.612 0.186
Mg1 0.500 0.352 0.352
Zn1 0.500 0.599 0.858
Zn2 0.500 0.858 0.599
Pt1 0.500 0.270 0.941
Pt2 0.500 0.941 0.270
Au1 0.000 0.602 0.602

Values from the calculation:
Uncorrected energy: -41.28 eV/cell
Space-group type: Amm2

***

VASP calculation (GGA-PBE) on a geometry-optimized Y3Mg3Pt2Au structure.

a = 7.439 Å, b = 7.439 Å, c = 4.070 Å
α = 90.00°, β = 90.00°, γ = 120.00°
Element x y z (fractional)
Y1 0.000 0.584 0.000
Y2 0.416 0.416 0.000
Y3 0.584 0.000 0.000
Mg1 0.000 0.252 0.500
Mg2 0.252 0.000 0.500
Mg3 0.748 0.748 0.500
Pt1 0.333 0.667 0.500
Pt2 0.667 0.333 0.500
Au1 0.000 0.000 0.000

Values from the calculation:
Uncorrected energy: -47.24 eV/cell
Space-group type: P-62m

***

VASP calculation (GGA-PBE) on a geometry-optimized Y3Mg3PtAu2 structure.

a = 7.465 Å, b = 7.465 Å, c = 4.135 Å
α = 90.00°, β = 90.00°, γ = 120.00°
Element x y z (fractional)
Y1 0.000 0.595 0.000
Y2 0.405 0.405 0.000
Y3 0.595 0.000 0.000
Mg1 0.000 0.241 0.500
Mg2 0.241 0.000 0.500
Mg3 0.759 0.759 0.500
Pt1 0.000 0.000 0.000
Au1 0.333 0.667 0.500
Au2 0.667 0.333 0.500

Values from the calculation:
Uncorrected energy: -43.62 eV/cell
Space-group type: P-62m

***

VASP calculation (GGA-PBE) on a geometry-optimized PuMgAu structure.

a = 4.867 Å, b = 4.867 Å, c = 4.867 Å
α = 60.00°, β = 60.00°, γ = 60.00°
Element x y z (fractional)
Pu1 0.000 0.000 0.000
Mg1 0.250 0.250 0.250
Au1 0.750 0.750 0.750

Values from the calculation:
Uncorrected energy: -18.14 eV/cell
Space-group type: F-43m

***

| no. | magnetization (μB/f.u.) |
| --- | --- |
| 1 | 0.0 |
| 2 | 0.0 |
| 3 | 0.0 |
| 4 | 0.0 |
| 5 | 0.0 |
| 6 | 0.6 |
| 7 | 0.0 |
| 8 | 0.0 |
| 9 | 0.0 |
| 10 | 0.0 |
| 11 | 0.0 |
| 12 | 0.0 |
| 13 | 0.0 |
| 14 | 0.0 |
| 15 | 0.0 |
| 16 | 0.0 |
| 17 | 0.0 |
| 18 | 0.0 |
| 19 | 0.0 |
| 20 | 6.3 |